This record from Alexandria via LeMat-Bulk describes ZnAg2Os at its PBEsol-relaxed geometry. The functional is SCAN.

```
ZnAg2Os
1.0
3.792 0.000 0.000
0.000 3.792 0.000
0.000 0.000 4.165
Zn Ag Os
1 2 1
Direct
0.000 0.000 0.000
0.000 0.500 0.500
0.500 0.000 0.500
0.500 0.500 0.000
```

Values from the calculation:
* calculated total energy: -2.6828 Ry per atom
* space group: No. 123
* DFT formation energy: 530 meV per atom

=====

This record from Alexandria via LeMat-Bulk describes LaPdPb3 at its PBEsol-relaxed geometry. The functional is SCAN.

```
LaPdPb3
1.0
5.906 0.000 0.000
0.000 5.906 0.000
0.000 0.000 5.906
La Pd Pb
1 1 3
Direct
0.000 0.000 0.000
0.500 0.500 0.500
0.000 0.000 0.500
0.000 0.500 0.000
0.500 0.000 0.000
```

Values from the calculation:
* calculated total energy: -4.3854 Ry per atom
* space group: No. 221
* DFT formation energy: 978 meV per atom

=====

This record from Alexandria via LeMat-Bulk describes SrRu2Se at its PBEsol-relaxed geometry. The functional is SCAN.

```
SrRu2Se
1.0
2.133 1.232 5.410
-2.133 1.232 5.410
0.000 -2.463 5.410
Sr Ru Se
1 2 1
Direct
0.000 0.000 0.000
0.192 0.192 0.192
0.808 0.808 0.808
0.500 0.500 0.500
```

Values from the calculation:
* calculated total energy: -2.0586 Ry per atom
* space group: No. 166
* formation energy without anion corrections: -3 kJ/mol of formula units

=====

This record from Alexandria via LeMat-Bulk describes SrFe2Pb at its PBEsol-relaxed geometry. The functional is SCAN.

```
SrFe2Pb
1.0
4.590 0.000 0.000
0.000 4.590 0.000
0.000 0.000 3.838
Sr Fe Pb
1 2 1
Direct
0.000 0.000 0.000
0.000 0.500 0.500
0.500 0.000 0.500
0.500 0.500 0.000
```

Values from the calculation:
* calculated total energy: -2.4238 Ry per atom
* space group: No. 123
* DFT formation energy: 601 meV per atom

=====

This record from Alexandria via LeMat-Bulk describes MgCoRu2 at its PBEsol-relaxed geometry. The functional is SCAN.

```
MgCoRu2
1.0
2.644 0.000 0.000
0.000 2.644 0.000
0.000 0.000 7.626
Mg Co Ru
1 1 2
Direct
0.000 0.000 0.000
0.000 0.000 0.500
0.500 0.500 0.279
0.500 0.500 0.721
```

Values from the calculation:
* calculated total energy: -1.6732 Ry per atom
* space group: No. 123
* DFT formation energy: 217 meV per atom

=====

This record from Alexandria via LeMat-Bulk describes SiSb2TeIr at its PBEsol-relaxed geometry. The functional is SCAN.

```
SiSb2TeIr
1.0
4.980 0.000 0.000
0.000 4.980 0.000
0.000 0.000 5.503
Si Sb Te Ir
1 2 1 1
Direct
0.000 0.000 0.000
0.000 0.500 0.500
0.500 0.000 0.500
0.500 0.500 0.000
0.500 0.500 0.500
```

Values from the calculation:
* calculated total energy: -2.7763 Ry per atom
* space group: No. 123
* formation energy without anion corrections: 388 kJ/mol of formula units

=====

This record from Alexandria via LeMat-Bulk describes CeZn3 at its PBEsol-relaxed geometry. The functional is SCAN.

```
CeZn3
1.0
2.249 -5.063 0.000
2.249 5.063 0.000
0.000 0.000 6.342
Ce Zn
2 6
Direct
0.099 0.901 0.750
0.901 0.099 0.250
0.202 0.798 0.250
0.380 0.620 0.556
0.380 0.620 0.944
0.620 0.380 0.056
0.620 0.380 0.444
0.798 0.202 0.750
```

Values from the calculation:
* calculated total energy: -1.5889 Ry per atom
* space group: No. 63
* DFT formation energy: -341 meV per atom

=====

This record from Alexandria via LeMat-Bulk describes Ag2PtAu at its PBEsol-relaxed geometry. The functional is SCAN.

```
Ag2PtAu
1.0
1.424 -2.379 0.000
1.424 2.379 0.000
0.000 0.000 9.586
Ag Pt Au
2 1 1
Direct
0.000 0.000 0.247
0.000 0.000 0.753
0.500 0.500 0.000
0.500 0.500 0.500
```

Values from the calculation:
* calculated total energy: -3.7149 Ry per atom
* space group: No. 65
* DFT formation energy: -23 meV per atom
* energy above the most stable polymorph in this dataset: 31 meV per atom